Record 1
# Cs2BePb

A relaxed Cs2BePb crystal (PBE, Alexandria).

Structure (POSCAR):
```
Cs2BePb
1.0
-7.0754 7.0754 2.3042
7.0754 -7.0754 2.3042
7.0754 7.0754 -2.3042
Cs Be Pb
4 2 2
Direct
0.3750 0.1826 0.3076
0.8174 0.1250 0.1924
0.8750 0.0674 0.6924
0.9326 0.6250 0.8076
0.0000 0.0000 0.0000
0.7500 0.2500 0.5000
0.2500 0.7500 0.5000
0.5000 0.5000 0.0000
```

Output
Its electronic total energy is -2.04 eV/atom. The total magnetic moment is 0.00 μB per cell. The value obtained for the energy of formation is 244 meV per atom. The density of states at the Fermi level comes out at 0.8 states/eV/f.u.

=====

Record 2
# NaMgV

A relaxed NaMgV crystal (PBE, Alexandria).

Structure (POSCAR):
```
NaMgV
1.0
2.9698 0.0000 0.0000
0.0000 5.0671 0.0000
-0.1184 0.0000 8.9819
Na Mg V
2 2 2
Direct
0.0000 0.0000 0.0000
0.4700 0.5000 0.8015
0.5892 0.5000 0.1870
0.9680 0.5000 0.4851
0.1998 0.0000 0.3492
0.4894 0.0000 0.5414
```

Output
Its energy above the lowest structure with this stoichiometry is 0.1969 eV per atom. Its electronic total energy is -3.61 eV/atom. The total magnetic moment is 0.00 μB per cell. The value obtained for the energy of formation is 398 meV per atom. The density of states at the Fermi level comes out at 1.7 states/eV/f.u.

=====

Record 3
# SrLi2IrSe

A relaxed SrLi2IrSe crystal (PBE, Alexandria).

Structure (POSCAR):
```
SrLi2IrSe
1.0
4.6394 0.0000 0.0000
0.0000 4.6394 0.0000
0.0000 0.0000 6.0879
Sr Li Ir Se
1 2 1 1
Direct
0.0000 0.0000 0.0000
0.0000 0.5000 0.5000
0.5000 0.0000 0.5000
0.5000 0.5000 0.0000
0.0000 0.0000 0.5000
```

Output
Its electronic total energy is -3.75 eV/atom. The total magnetic moment is 1.00 μB per cell. The calculation puts the uncorrected formation energy at -0.181 eV per atom. The density of states at the Fermi level comes out at 3.0 states/eV/f.u.

=====

Record 4
# La6CoPdPb2

A relaxed La6CoPdPb2 crystal (PBE, Alexandria).

Structure (POSCAR):
```
La6CoPdPb2
1.0
7.5026 0.0000 0.0000
-0.0111 7.5381 0.0000
-3.4481 -3.7573 5.8028
La Co Pd Pb
6 1 1 2
Direct
0.1560 0.2785 0.4638
0.2408 0.2865 0.0019
0.3144 0.8432 0.5328
0.6856 0.1568 0.4672
0.7592 0.7135 0.9981
0.8440 0.7215 0.5362
0.0000 0.0000 0.5000
0.5000 0.5000 0.5000
0.2496 0.7581 0.0012
0.7504 0.2419 0.9988
```

Output
Its electronic total energy is -5.36 eV/atom. The total magnetic moment is 0.00 μB per cell. The value obtained for the energy of formation is -428 meV per atom. The density of states at the Fermi level comes out at 8.9 states/eV/f.u.

=====

Record 5
# TbHgPd

A relaxed TbHgPd crystal (PBE, Alexandria).

Structure (POSCAR):
```
TbHgPd
1.0
0.0000 3.3361 3.3361
3.3361 0.0000 3.3361
3.3361 3.3361 0.0000
Tb Hg Pd
1 1 1
Direct
0.0000 0.0000 0.0000
0.5000 0.5000 0.5000
0.2500 0.2500 0.2500
```

Output
Its electronic total energy is -3.96 eV/atom. The total magnetic moment is 0.00 μB per cell. The value obtained for the energy of formation is -588 meV per atom. The density of states at the Fermi level comes out at 1.6 states/eV/f.u.

=====

Record 6
# YHfCd2

A relaxed YHfCd2 crystal (PBE, Alexandria).

Structure (POSCAR):
```
YHfCd2
1.0
-4.1108 4.1108 3.0363
4.1108 -4.1108 3.0363
4.1108 4.1108 -3.0363
Y Hf Cd
2 2 4
Direct
0.0000 0.0000 0.0000
0.7500 0.2500 0.5000
0.2500 0.7500 0.5000
0.5000 0.5000 0.0000
0.1454 0.6250 0.0204
0.3750 0.3954 0.5204
0.6046 0.1250 0.9796
0.8750 0.8546 0.4796
```

Output
Its energy above the lowest structure with this stoichiometry is 0.4126 eV per atom. Its electronic total energy is -4.25 eV/atom. The total magnetic moment is 0.00 μB per cell. The value obtained for the energy of formation is 311 meV per atom. The density of states at the Fermi level comes out at 4.8 states/eV/f.u.

=====

Record 7
# KTcPd2

A relaxed KTcPd2 crystal (PBE, Alexandria).

Structure (POSCAR):
```
KTcPd2
1.0
0.0000 3.3787 3.3787
3.3787 0.0000 3.3787
3.3787 3.3787 0.0000
K Tc Pd
1 1 2
Direct
0.0000 0.0000 0.0000
0.5000 0.5000 0.5000
0.2500 0.2500 0.2500
0.7500 0.7500 0.7500
```

Output
Its energy above the lowest structure with this stoichiometry is 0.0000 eV per atom. Its electronic total energy is -4.65 eV/atom. The total magnetic moment is 3.79 μB per cell. The value obtained for the energy of formation is 809 meV per atom. The density of states at the Fermi level comes out at 1.4 states/eV/f.u.

=====

Record 8
# HfTaPt

A relaxed HfTaPt crystal (PBE, Alexandria).

Structure (POSCAR):
```
HfTaPt
1.0
2.2675 1.3092 6.6569
-2.2675 1.3092 6.6569
0.0000 -2.6183 6.6569
Hf Ta Pt
2 2 2
Direct
0.1254 0.1254 0.1254
0.8746 0.8746 0.8746
0.2978 0.2978 0.2978
0.7022 0.7022 0.7022
0.4293 0.4293 0.4293
0.5707 0.5707 0.5707
```

Output
Its electronic total energy is -9.53 eV/atom. The total magnetic moment is 0.00 μB per cell. The value obtained for the energy of formation is -243 meV per atom. The density of states at the Fermi level comes out at 4.4 states/eV/f.u.

=====

Record 9
# BaMoCl2

A relaxed BaMoCl2 crystal (PBE, Alexandria).

Structure (POSCAR):
```
BaMoCl2
1.0
0.0000 3.8805 3.8805
3.8805 0.0000 3.8805
3.8805 3.8805 0.0000
Ba Mo Cl
1 1 2
Direct
0.0000 0.0000 0.0000
0.5000 0.5000 0.5000
0.2500 0.2500 0.2500
0.7500 0.7500 0.7500
```

Output
Its energy above the lowest structure with this stoichiometry is 0.1726 eV per atom. Its electronic total energy is -4.48 eV/atom. The total magnetic moment is 6.00 μB per cell. The calculation puts the uncorrected formation energy at -0.364 eV per atom. The density of states at the Fermi level comes out at 0.0 states/eV/f.u.

=====

Record 10
# PrLuZr2

A relaxed PrLuZr2 crystal (PBE, Alexandria).

Structure (POSCAR):
```
PrLuZr2
1.0
4.7417 0.0000 0.0000
0.0000 4.7417 0.0000
0.0000 0.0000 4.7936
Pr Lu Zr
1 1 2
Direct
0.0000 0.0000 0.0000
0.5000 0.5000 0.0000
0.0000 0.5000 0.5000
0.5000 0.0000 0.5000
```

Output
Its energy above the lowest structure with this stoichiometry is 0.0000 eV per atom. Its electronic total energy is -6.45 eV/atom. The total magnetic moment is 0.00 μB per cell. The value obtained for the energy of formation is 151 meV per atom. The density of states at the Fermi level comes out at 4.0 states/eV/f.u.

=====

Record 11
# KYRu2

A relaxed KYRu2 crystal (PBE, Alexandria).

Structure (POSCAR):
```
KYRu2
1.0
4.3036 0.0000 0.0000
0.0000 4.3036 0.0000
0.0000 0.0000 4.4761
K Y Ru
1 1 2
Direct
0.0000 0.0000 0.0000
0.5000 0.5000 0.0000
0.0000 0.5000 0.5000
0.5000 0.0000 0.5000
```

Output
Its energy above the lowest structure with this stoichiometry is 0.6597 eV per atom. Its electronic total energy is -5.55 eV/atom. The total magnetic moment is 2.12 μB per cell. The value obtained for the energy of formation is 983 meV per atom. The density of states at the Fermi level comes out at 4.1 states/eV/f.u.

=====

Record 12
# SmCo2Si2

A relaxed SmCo2Si2 crystal (PBE, Alexandria).

Structure (POSCAR):
```
SmCo2Si2
1.0
-1.9568 1.9568 4.9547
1.9568 -1.9568 4.9547
1.9568 1.9568 -4.9547
Sm Co Si
1 2 2
Direct
0.0000 0.0000 0.0000
0.2500 0.7500 0.5000
0.7500 0.2500 0.5000
0.3692 0.3692 0.0000
0.6308 0.6308 0.0000
```

Output
Its electronic total energy is -6.74 eV/atom. The total magnetic moment is 0.00 μB per cell. The calculation puts the uncorrected formation energy at -0.789 eV per atom. The density of states at the Fermi level comes out at 3.1 states/eV/f.u.

=====

Record 13
# CaPuSi2

A relaxed CaPuSi2 crystal (PBE, Alexandria).

Structure (POSCAR):
```
CaPuSi2
1.0
3.1960 0.0000 0.0000
0.0000 3.1960 0.0000
0.0000 0.0000 8.3065
Ca Pu Si
1 1 2
Direct
0.0000 0.0000 0.0000
0.0000 0.0000 0.5000
0.5000 0.5000 0.2572
0.5000 0.5000 0.7428
```

Output
Its electronic total energy is -7.09 eV/atom. The total magnetic moment is 5.40 μB per cell. The calculation puts the uncorrected formation energy at -0.296 eV per atom. The density of states at the Fermi level comes out at 5.5 states/eV/f.u.